First-principles (GGA-PBE) data for an optimized crystal structure of GeBiIr, as listed in Alexandria.

POSCAR file:
```
GeBiIr
1.0
6.469 0.000 0.000
0.000 6.469 0.000
0.000 0.000 6.469
Ir Bi Ge
4 4 4
Direct
0.546 0.454 0.954 Ir
0.454 0.954 0.546 Ir
0.954 0.546 0.454 Ir
0.046 0.046 0.046 Ir
0.309 0.309 0.309 Bi
0.191 0.691 0.809 Bi
0.809 0.191 0.691 Bi
0.691 0.809 0.191 Bi
0.332 0.168 0.832 Ge
0.668 0.668 0.668 Ge
0.832 0.332 0.168 Ge
0.168 0.832 0.332 Ge
```

Summary:
The size of the total moment comes out at 0.00 μB/atom. As for the final energy: -5.888 eV per atom. As for the calculated density: 11.6 g/cm3. For the formation energy, the calculation gives -102 meV/atom.